Entry 1:
Computed, not measured: SiTeOsN2 at its PBEsol-relaxed geometry at the meta-GGA SCAN level of DFT.

The calculation puts the spin magnetization at 0.3 μB/f.u. As for the uncorrected formation energy: 941 meV/atom.

The structure belongs to space group P4/mmm (No. 123); the cell edges are 3.825, 3.825 and 5.641 Å and the angles 90.00°, 90.00° and 90.00°. The inequivalent atoms are Si at (0.000, 0.000, 0.000), Te at (0.500, 0.500, 0.000), Os at (0.500, 0.500, 0.500) and N at (0.000, 0.500, 0.500).

=====

Entry 2:
Computed, not measured: SnOs2N at its PBEsol-relaxed geometry at the meta-GGA SCAN level of DFT.

The calculation puts the spin magnetization at 0.0 μB/f.u. As for the uncorrected formation energy: 1693 meV/atom.

The structure belongs to space group Fm-3m (No. 225); the cell edges are 6.066, 6.066 and 6.066 Å and the angles 90.00°, 90.00° and 90.00°. The inequivalent atoms are Sn at (0.000, 0.000, 0.000), Os at (0.250, 0.250, 0.250) and N at (0.000, 0.000, 0.500).